Entry 1:
Material: Hf7Nb2Bi2
Method: DFT, PBE-GGA
State: optimized geometry

Computed properties:
E_form = 41 meV/atom
space group = Imm2, No. 44

a b c (Å): 8.757 8.757 8.757
angles (deg): 153.94 67.81 118.64
Fractional coordinates of all 11 atoms:
Hf 0.000 0.000 0.000
Hf 0.245 0.393 0.852
Hf 0.304 0.624 0.680
Hf 0.541 0.393 0.148
Hf 0.542 0.203 0.338
Hf 0.865 0.203 0.662
Hf 0.944 0.624 0.320
Nb 0.130 0.919 0.211
Nb 0.708 0.919 0.789
Bi 0.278 0.778 0.500
Bi 0.656 0.656 0.000



Entry 2:
Material: Nd2GdTm
Method: DFT, PBE-GGA
State: optimized geometry

Computed properties:
E_form = 14 meV/atom
space group = P4/mmm, No. 123

a b c (Å): 5.119 5.119 5.059
angles (deg): 90.00 90.00 90.00
Fractional coordinates of all 4 atoms:
Nd 0.000 0.500 0.000
Nd 0.500 0.000 0.000
Gd 0.000 0.000 0.500
Tm 0.500 0.500 0.500



Entry 3:
Material: Th4Te5H2
Method: DFT, PBE-GGA
State: optimized geometry

Computed properties:
space group = C2/m, No. 12
DFT total energy = -5.6073 eV per atom

a b c (Å): 9.193 9.193 9.312
angles (deg): 104.26 104.26 26.88
Fractional coordinates of all 11 atoms:
Th 0.000 0.000 0.250
Th 0.000 0.000 0.750
Th 0.365 0.365 0.935
Th 0.635 0.635 0.065
Te 0.177 0.177 0.321
Te 0.177 0.177 0.841
Te 0.500 0.500 0.500
Te 0.823 0.823 0.159
Te 0.823 0.823 0.679
H 0.498 0.498 0.871
H 0.502 0.502 0.129



Entry 4:
Material: CuGe2SO
Method: DFT, PBE-GGA
State: optimized geometry

Computed properties:
ΔE_f (raw) = 0.1053 eV per atom
space group = P4/mmm, No. 123

a b c (Å): 4.874 4.874 3.587
angles (deg): 90.00 90.00 90.00
Fractional coordinates of all 5 atoms:
Cu 0.000 0.000 0.000
Ge 0.000 0.500 0.000
Ge 0.500 0.000 0.000
S 0.500 0.500 0.500
O 0.000 0.000 0.500



Entry 5:
Material: ThZr4Sc8
Method: DFT, PBE-GGA
State: optimized geometry

Computed properties:
E_form = 145 meV/atom
space group = P-1, No. 2

a b c (Å): 5.834 5.843 11.195
angles (deg): 85.47 80.83 60.06
Fractional coordinates of all 13 atoms:
Th 0.000 0.000 0.000
Zr 0.000 0.000 0.500
Zr 0.000 0.500 0.500
Zr 0.500 0.000 0.500
Zr 0.500 0.500 0.500
Sc 0.083 0.665 0.755
Sc 0.251 0.666 0.245
Sc 0.332 0.335 0.000
Sc 0.409 0.999 0.766
Sc 0.591 0.001 0.234
Sc 0.668 0.665 0.000
Sc 0.749 0.334 0.755
Sc 0.917 0.335 0.245



Entry 6:
Material: TlCoSb2
Method: DFT, PBE-GGA
State: optimized geometry

Computed properties:
ΔE_f (raw) = -0.0095 eV per atom
space group = R-3m, No. 166

a b c (Å): 3.977 3.977 21.713
angles (deg): 90.00 90.00 120.00
Fractional coordinates of all 12 atoms:
Tl 0.000 0.000 0.000
Tl 0.333 0.667 0.667
Tl 0.667 0.333 0.333
Co 0.000 0.000 0.500
Co 0.333 0.667 0.167
Co 0.667 0.333 0.833
Sb 0.000 0.000 0.220
Sb 0.000 0.000 0.780
Sb 0.333 0.667 0.447
Sb 0.333 0.667 0.886
Sb 0.667 0.333 0.114
Sb 0.667 0.333 0.553



Entry 7:
Material: ScTl2Cd
Method: DFT, PBE-GGA
State: optimized geometry

Computed properties:
E_form = 59 meV/atom
space group = R3m, No. 160

a b c (Å): 4.779 4.779 16.597
angles (deg): 90.00 90.00 120.00
Fractional coordinates of all 12 atoms:
Sc 0.000 0.000 0.000
Sc 0.333 0.667 0.667
Sc 0.667 0.333 0.333
Tl 0.000 0.000 0.387
Tl 0.000 0.000 0.578
Tl 0.333 0.667 0.054
Tl 0.333 0.667 0.244
Tl 0.667 0.333 0.721
Tl 0.667 0.333 0.911
Cd 0.000 0.000 0.805
Cd 0.333 0.667 0.471
Cd 0.667 0.333 0.138



Entry 8:
Material: NaPt3O
Method: DFT, PBE-GGA
State: optimized geometry

Computed properties:
ΔE_f (raw) = 2.1437 eV per atom
space group = Pm-3m, No. 221

a b c (Å): 4.706 4.706 4.706
angles (deg): 90.00 90.00 90.00
Fractional coordinates of all 5 atoms:
Na 0.000 0.000 0.000
Pt 0.000 0.000 0.500
Pt 0.000 0.500 0.000
Pt 0.500 0.000 0.000
O 0.500 0.500 0.500



no.,D(E_F) (states/eV/atom)
1,0.691
2,1.573
3,0.441
4,0.374
5,1.448
6,0.528
7,0.639
8,1.612